# 1
# PmNd4Ag5 PBE relaxed
data_PmNd4Ag5
_cell_length_a 3.724
_cell_length_b 3.724
_cell_length_c 19.042
_cell_angle_alpha 90.00
_cell_angle_beta 90.00
_cell_angle_gamma 90.00
_space_group_name_H-M_alt 'P 4/m m m'
_space_group_IT_number 123
_space_group_name_Hall '-P 4 2'
loop_
_atom_site_label
_atom_site_fract_x
_atom_site_fract_y
_atom_site_fract_z
_atom_site_occupancy
Pm1 0.000 0.000 0.000 1
Nd1 0.000 0.000 0.199 1
Nd2 0.000 0.000 0.400 1
Ag1 0.500 0.500 0.098 1
Ag2 0.500 0.500 0.299 1
Ag3 0.500 0.500 0.500 1
# Fermi-level density of states = 7.84 states/eV/f.u.
# energy = -4.068 eV/atom
# formation energy from the elements = -0.26 eV per atom



# 2
# Pm3Nd2Ag3 PBE relaxed
data_Pm3Nd2Ag3
_cell_length_a 3.784
_cell_length_b 5.407
_cell_length_c 22.151
_cell_angle_alpha 90.00
_cell_angle_beta 90.00
_cell_angle_gamma 90.00
_space_group_name_H-M_alt 'I m m m'
_space_group_IT_number 71
_space_group_name_Hall '-I 2 2'
loop_
_atom_site_label
_atom_site_fract_x
_atom_site_fract_y
_atom_site_fract_z
_atom_site_occupancy
Pm1 0.000 0.000 0.000 1
Pm2 0.000 0.500 0.120 1
Nd1 0.000 0.000 0.231 1
Ag1 0.000 0.000 0.500 1
Ag2 0.000 0.500 0.384 1
# Fermi-level density of states = 8.53 states/eV/f.u.
# energy = -4.218 eV/atom
# formation energy from the elements = -0.18 eV per atom



# 3
# Pm2Nd3Ag2 PBE relaxed
data_Pm2Nd3Ag2
_cell_length_a 3.703
_cell_length_b 31.806
_cell_length_c 3.637
_cell_angle_alpha 90.00
_cell_angle_beta 90.00
_cell_angle_gamma 90.00
_space_group_name_H-M_alt 'C m m m'
_space_group_IT_number 65
_space_group_name_Hall '-C 2 2'
loop_
_atom_site_label
_atom_site_fract_x
_atom_site_fract_y
_atom_site_fract_z
_atom_site_occupancy
Pm1 0.000 0.202 0.000 1
Nd1 0.000 0.083 0.000 1
Nd2 0.000 0.500 0.500 1
Ag1 0.000 0.357 0.500 1
# offset from the most stable computed form = 52 meV/atom
# Fermi-level density of states = 9.70 states/eV/f.u.
# energy = -4.276 eV/atom
# formation energy from the elements = -0.06 eV per atom



# 4
# Pm4Nd9Ag11 PBE relaxed
data_Pm4Nd9Ag11
_cell_length_a 15.655
_cell_length_b 22.681
_cell_length_c 3.628
_cell_angle_alpha 90.00
_cell_angle_beta 90.00
_cell_angle_gamma 90.00
_space_group_name_H-M_alt 'C m m m'
_space_group_IT_number 65
_space_group_name_Hall '-C 2 2'
loop_
_atom_site_label
_atom_site_fract_x
_atom_site_fract_y
_atom_site_fract_z
_atom_site_occupancy
Pm1 0.151 0.091 0.000 1
Nd1 0.000 0.000 0.000 1
Nd2 0.117 0.243 0.000 1
Nd3 0.123 0.415 0.000 1
Ag1 0.000 0.142 0.500 1
Ag2 0.000 0.332 0.500 1
Ag3 0.000 0.500 0.500 1
Ag4 0.238 0.322 0.500 1
Ag5 0.247 0.500 0.500 1
# Fermi-level density of states = 21.24 states/eV/f.u.
# energy = -4.057 eV/atom
# formation energy from the elements = -0.17 eV per atom



# 5
# PmNd2Ag PBE relaxed
data_PmNd2Ag
_cell_length_a 3.6954
_cell_length_b 3.6954
_cell_length_c 32.1678
_cell_angle_alpha 90.00
_cell_angle_beta 90.00
_cell_angle_gamma 120.00
_space_group_name_H-M_alt 'R 3 m'
_space_group_IT_number 160
_space_group_name_Hall 'R 3 -2"'
loop_
_atom_site_label
_atom_site_fract_x
_atom_site_fract_y
_atom_site_fract_z
_atom_site_occupancy
Pm1 0.0000 0.0000 0.0000 1
Nd1 0.0000 0.0000 0.5743 1
Nd2 0.0000 0.0000 0.7600 1
Ag1 0.0000 0.0000 0.1676 1
# offset from the most stable computed form = 114 meV/atom
# Fermi-level density of states = 5.06 states/eV/f.u.
# energy = -4.275 eV/atom
# formation energy from the elements = 0.01 eV per atom



# 6
# PmNdAg6 PBE relaxed
data_PmNdAg6
_cell_length_a 4.899
_cell_length_b 6.655
_cell_length_c 10.956
_cell_angle_alpha 90.00
_cell_angle_beta 90.00
_cell_angle_gamma 90.00
_space_group_name_H-M_alt 'A m m 2'
_space_group_IT_number 38
loop_
_space_group_symop_operation_xyz
'x,y,z'
'-x,-y,z'
'-x,y,z'
'x,-y,z'
'x,y+1/2,z+1/2'
'-x,-y+1/2,z+1/2'
'-x,y+1/2,z+1/2'
'x,-y+1/2,z+1/2'
loop_
_atom_site_label
_atom_site_fract_x
_atom_site_fract_y
_atom_site_fract_z
_atom_site_occupancy
Pm1 0.000 0.000 0.000 1
Nd1 0.500 0.000 0.314 1
Ag1 0.000 0.000 0.499 1
Ag2 0.000 0.218 0.736 1
Ag3 0.500 0.000 0.816 1
Ag4 0.500 0.219 0.577 1
# offset from the most stable computed form = 46 meV/atom
# Fermi-level density of states = 4.53 states/eV/f.u.
# energy = -3.510 eV/atom
# formation energy from the elements = -0.18 eV per atom



# 7
# PmNd4Ag4 PBE relaxed
data_PmNd4Ag4
_cell_length_a 9.064
_cell_length_b 9.064
_cell_length_c 6.579
_cell_angle_alpha 90.00
_cell_angle_beta 90.00
_cell_angle_gamma 90.00
_space_group_name_H-M_alt 'P 42/n'
_space_group_IT_number 86
loop_
_space_group_symop_operation_xyz
'x,y,z'
'-x,-y,-z'
'-y,x+1/2,z+1/2'
'y,-x+1/2,-z+1/2'
'-x+1/2,-y+1/2,z'
'x+1/2,y+1/2,-z'
'y+1/2,-x,z+1/2'
'-y+1/2,x,-z+1/2'
loop_
_atom_site_label
_atom_site_fract_x
_atom_site_fract_y
_atom_site_fract_z
_atom_site_occupancy
Pm1 0.250 0.250 0.250 1
Nd1 0.038 0.658 0.146 1
Ag1 0.028 0.637 0.612 1
# Fermi-level density of states = 10.41 states/eV/f.u.
# energy = -3.935 eV/atom
# formation energy from the elements = -0.02 eV per atom



# 8
# PmNdAg PBE relaxed
data_PmNdAg
_cell_length_a 7.183
_cell_length_b 5.225
_cell_length_c 9.392
_cell_angle_alpha 90.00
_cell_angle_beta 90.00
_cell_angle_gamma 90.00
_space_group_name_H-M_alt 'P n m a'
_space_group_IT_number 62
loop_
_space_group_symop_operation_xyz
'x,y,z'
'-x,-y,-z'
'-x+1/2,-y,z+1/2'
'x+1/2,y,-z+1/2'
'x+1/2,-y+1/2,-z+1/2'
'-x+1/2,y+1/2,z+1/2'
'-x,y+1/2,-z'
'x,-y+1/2,z'
loop_
_atom_site_label
_atom_site_fract_x
_atom_site_fract_y
_atom_site_fract_z
_atom_site_occupancy
Pm1 0.156 0.250 0.082 1
Nd1 0.010 0.250 0.686 1
Ag1 0.237 0.250 0.402 1
# offset from the most stable computed form = 0 meV/atom
# Fermi-level density of states = 3.42 states/eV/f.u.
# energy = -4.280 eV/atom
# formation energy from the elements = -0.16 eV per atom



# 9
# Pm3Nd5Ag2 PBE relaxed
data_Pm3Nd5Ag2
_cell_length_a 11.739
_cell_length_b 16.496
_cell_length_c 6.769
_cell_angle_alpha 90.00
_cell_angle_beta 90.00
_cell_angle_gamma 90.00
_space_group_name_H-M_alt 'I b a m'
_space_group_IT_number 72
_space_group_name_Hall '-I 2 2c'
loop_
_atom_site_label
_atom_site_fract_x
_atom_site_fract_y
_atom_site_fract_z
_atom_site_occupancy
Pm1 0.000 0.000 0.250 1
Pm2 0.218 0.169 0.000 1
Nd1 0.000 0.305 0.250 1
Nd2 0.000 0.500 0.250 1
Nd3 0.231 0.436 0.000 1
Ag1 0.058 0.159 0.500 1
# Fermi-level density of states = 14.26 states/eV/f.u.
# energy = -4.273 eV/atom
# formation energy from the elements = 0.11 eV per atom



# 10
# PmNd2Ag PBE relaxed
data_PmNd2Ag
_cell_length_a 3.723
_cell_length_b 3.723
_cell_length_c 8.895
_cell_angle_alpha 90.00
_cell_angle_beta 90.00
_cell_angle_gamma 90.00
_space_group_name_H-M_alt 'P 4/m m m'
_space_group_IT_number 123
_space_group_name_Hall '-P 4 2'
loop_
_atom_site_label
_atom_site_fract_x
_atom_site_fract_y
_atom_site_fract_z
_atom_site_occupancy
Pm1 0.000 0.000 0.000 1
Nd1 0.500 0.500 0.285 1
Ag1 0.000 0.000 0.500 1
# offset from the most stable computed form = 0 meV/atom
# Fermi-level density of states = 6.41 states/eV/f.u.
# energy = -4.388 eV/atom
# formation energy from the elements = -0.10 eV per atom



# 11
# Pm4NdAg PBE relaxed
data_Pm4NdAg
_cell_length_a 3.676
_cell_length_b 3.676
_cell_length_c 14.188
_cell_angle_alpha 90.00
_cell_angle_beta 90.00
_cell_angle_gamma 90.00
_space_group_name_H-M_alt 'P 4/m m m'
_space_group_IT_number 123
_space_group_name_Hall '-P 4 2'
loop_
_atom_site_label
_atom_site_fract_x
_atom_site_fract_y
_atom_site_fract_z
_atom_site_occupancy
Pm1 0.000 0.000 0.136 1
Pm2 0.500 0.500 0.319 1
Nd1 0.000 0.000 0.500 1
Ag1 0.500 0.500 0.000 1
# offset from the most stable computed form = 0 meV/atom
# Fermi-level density of states = 9.06 states/eV/f.u.
# energy = -4.506 eV/atom
# formation energy from the elements = -0.07 eV per atom



# 12
# PmNdAg PBE relaxed
data_PmNdAg
_cell_length_a 5.1473
_cell_length_b 5.1473
_cell_length_c 3.7477
_cell_angle_alpha 90.00
_cell_angle_beta 90.00
_cell_angle_gamma 120.00
_space_group_name_H-M_alt 'P 3 m 1'
_space_group_IT_number 156
loop_
_space_group_symop_operation_xyz
'x,y,z'
'-y,x-y,z'
'-x+y,-x,z'
'-y,-x,z'
'-x+y,y,z'
'x,x-y,z'
loop_
_atom_site_label
_atom_site_fract_x
_atom_site_fract_y
_atom_site_fract_z
_atom_site_occupancy
Pm1 0.0000 0.0000 0.0000 1
Nd1 0.6667 0.3333 0.4257 1
Ag1 0.3333 0.6667 0.7223 1
# offset from the most stable computed form = 137 meV/atom
# Fermi-level density of states = 3.08 states/eV/f.u.
# energy = -4.143 eV/atom
# formation energy from the elements = -0.02 eV per atom



Number 1: size of the total moment 0.00 μB/f.u., ρ 7.93 g/cm³. Number 2: size of the total moment 0.00 μB/f.u., ρ 7.67 g/cm³. Number 3: size of the total moment 0.70 μB/f.u., ρ 7.28 g/cm³. Number 4: size of the total moment 0.52 μB/f.u., ρ 7.90 g/cm³. Number 5: size of the total moment 0.00 μB/f.u., ρ 7.09 g/cm³. Number 6: size of the total moment 0.00 μB/f.u., ρ 8.71 g/cm³. Number 7: size of the total moment 0.00 μB/f.u., ρ 7.09 g/cm³. Number 8: size of the total moment 0.00 μB/f.u., ρ 7.48 g/cm³. Number 9: size of the total moment 0.00 μB/f.u., ρ 6.95 g/cm³. Number 10: size of the total moment 0.00 μB/f.u., ρ 7.29 g/cm³. Number 11: size of the total moment 0.00 μB/f.u., ρ 7.21 g/cm³. Number 12: size of the total moment 0.00 μB/f.u., ρ 7.67 g/cm³.